Entry from Alexandria via LeMat-Bulk: an optimized crystal structure of Y2MnAg (PBE).

Calculated values
**M_tot**: 0.63 μB per atom
**Symmetry**: I-4m2
**ΔE_f**: 0.135 eV/atom
**Raw total energy**: -6.102 eV/atom

Geometry as POSCAR:
```
Y2MnAg
1.0
-2.583 4.135 -3.277
-4.208 3.221 2.535
5.491 -1.653 1.276
Ag Y Mn
1 2 1
direct
0.500 0.500 0.000 Ag
0.250 0.750 0.500 Y
0.000 0.000 0.000 Y
0.750 0.250 0.500 Mn
```